1.
BeIN2O after structural relaxation. Source: Alexandria, functional PBE.

a b c (Å): 3.782 3.782 3.430
angles (deg): 90.00 90.00 90.00
Space group P4/mmm (No. 123)
Inequivalent atoms, fractional coordinates:
Be 0.000 0.000 0.000 x1
I 0.500 0.500 0.500 x1
N 0.000 0.500 0.000 x2
O 0.000 0.000 0.500 x1

The calculation puts the formation energy without anion corrections at 1072 meV per atom.

=====

2.
LiPm4Sn4 after structural relaxation. Source: Alexandria, functional PBE.

a b c (Å): 9.557 9.557 6.361
angles (deg): 90.00 90.00 90.00
Space group I4/m (No. 87)
Inequivalent atoms, fractional coordinates:
Li 0.000 0.000 0.000 x2
Pm 0.088 0.706 0.500 x8
Sn 0.091 0.721 0.000 x8

The energy of formation comes out at -363 meV/atom.

=====

3.
KIn8Ag2 after structural relaxation. Source: Alexandria, functional PBE.

a b c (Å): 6.346 6.346 9.715
angles (deg): 90.00 90.00 90.00
Space group P4/mmm (No. 123)
Inequivalent atoms, fractional coordinates:
K 0.000 0.000 0.000 x1
In 0.252 0.252 0.309 x8
Ag 0.000 0.500 0.500 x2

The energy of formation comes out at 118 meV/atom.

=====

4.
AcNd2ErS4 after structural relaxation. Source: Alexandria, functional PBE.

a b c (Å): 7.025 4.023 7.211
angles (deg): 90.00 108.66 90.00
Space group P2/m (No. 10)
Inequivalent atoms, fractional coordinates:
Ac 0.000 0.000 0.000 x1
Nd 0.500 0.000 0.500 x1
Nd 0.500 0.500 0.000 x1
Er 0.000 0.500 0.500 x1
S 0.239 0.000 0.730 x2
S 0.252 0.500 0.268 x2

The calculation puts the formation energy without anion corrections at -1969 meV per atom.

=====

5.
Cs12Hg3Pd5 after structural relaxation. Source: Alexandria, functional PBE.

a b c (Å): 21.466 21.466 21.466
angles (deg): 90.00 90.00 90.00
Space group Ia-3d (No. 230)
Inequivalent atoms, fractional coordinates:
Cs 0.035 0.059 0.646 x96
Hg 0.000 0.250 0.125 x24
Pd 0.000 0.000 0.000 x16
Pd 0.000 0.250 0.375 x24

The energy of formation comes out at 95 meV/atom.

=====

6.
TaN after structural relaxation. Source: Alexandria, functional PBE.

a b c (Å): 4.763 4.763 4.763
angles (deg): 90.00 90.00 90.00
Space group F-43m (No. 216)
Inequivalent atoms, fractional coordinates:
Ta 0.000 0.000 0.000 x4
N 0.250 0.250 0.750 x4

The calculation puts the formation energy without anion corrections at -683 meV per atom.

=====

7.
CaCe2In after structural relaxation. Source: Alexandria, functional PBE.

a b c (Å): 4.760 4.760 5.196
angles (deg): 90.00 90.00 90.00
Space group P4/mmm (No. 123)
Inequivalent atoms, fractional coordinates:
Ca 0.000 0.000 0.000 x1
Ce 0.000 0.500 0.500 x2
In 0.500 0.500 0.000 x1

The energy of formation comes out at -98 meV/atom. For the polymorph energy (0 for the lowest one), the calculation gives 0.000 eV per atom.

=====

8.
Ba2YO after structural relaxation. Source: Alexandria, functional PBE.

a b c (Å): 8.038 8.038 10.423
angles (deg): 90.00 90.00 90.00
Space group I-42d (No. 122)
Inequivalent atoms, fractional coordinates:
Ba 0.099 0.250 0.125 x8
Y 0.000 0.000 0.500 x4
O 0.000 0.000 0.000 x4

For the polymorph energy (0 for the lowest one), the calculation gives 0.137 eV per atom. The calculation puts the formation energy without anion corrections at -794 meV per atom.

=====

9.
Li2CuAu after structural relaxation. Source: Alexandria, functional PBE.

a b c (Å): 9.126 2.760 4.706
angles (deg): 90.00 98.22 90.00
Space group Cm (No. 8)
Inequivalent atoms, fractional coordinates:
Li 0.000 0.000 0.000 x2
Li 0.232 0.000 0.720 x2
Cu 0.489 0.000 0.489 x2
Au 0.247 0.500 0.231 x2

The energy of formation comes out at -261 meV/atom.

=====

10.
RbInSn2Br8 after structural relaxation. Source: Alexandria, functional PBE.

a b c (Å): 6.918 7.804 9.342
angles (deg): 78.08 68.84 82.68
Space group P-1 (No. 2)
Inequivalent atoms, fractional coordinates:
Rb 0.000 0.000 0.000 x1
In 0.000 0.000 0.500 x1
Sn 0.431 0.399 0.256 x2
Br 0.119 0.232 0.613 x2
Br 0.233 0.581 0.022 x2
Br 0.237 0.732 0.610 x2
Br 0.345 0.077 0.216 x2

The calculation puts the formation energy without anion corrections at -923 meV per atom.

=====

11.
SmDy2Er2Tm after structural relaxation. Source: Alexandria, functional PBE.

a b c (Å): 6.588 17.477 3.355
angles (deg): 90.00 90.00 90.00
Space group Pnnm (No. 58)
Inequivalent atoms, fractional coordinates:
Sm 0.000 0.000 0.000 x2
Dy 0.237 0.150 0.500 x4
Er 0.239 0.320 0.000 x4
Tm 0.000 0.500 0.000 x2

The energy of formation comes out at 282 meV/atom.

=====

12.
MgSc2C after structural relaxation. Source: Alexandria, functional PBE.

a b c (Å): 6.975 6.975 6.495
angles (deg): 90.00 90.00 90.00
Space group I-42d (No. 122)
Inequivalent atoms, fractional coordinates:
Mg 0.000 0.000 0.000 x4
Sc 0.150 0.250 0.625 x8
C 0.000 0.000 0.500 x4

The energy of formation comes out at 99 meV/atom.

=====

Asked for E across the records above, the calculation gives -21.5, -40.2, -27.4, -50.5, -35.2, -21.5, -17.0, -18.4, -12.2, -36.2, -25.8, -23.1 eV/f.u. in order.